# 1
TbNd5Ho6: relaxed, PBE.

Output
Its raw total energy is -4.65 eV/atom. The value obtained for the total magnetization is 0.00 Bohr magnetons per cell. The space group is C2/m. The value obtained for the calculated formation energy is 0.2 eV per formula unit. The calculation puts the energy above the most stable polymorph in this dataset at 0.000 eV per atom.

Structure (CIF):
```
data_TbNd5Ho6
_chemical_formula_sum 'Tb1 Nd5 Ho6'
_cell_length_a 6.237
_cell_length_b 6.237
_cell_length_c 11.817
_cell_angle_alpha 95.05
_cell_angle_beta 95.05
_cell_angle_gamma 120.01
_symmetry_space_group_name_H-M 'P 1'
_symmetry_Int_Tables_number 1
_symmetry_space_group_name_Hall 'P 1'
loop_
_atom_site_label
_atom_site_fract_x
_atom_site_fract_y
_atom_site_fract_z
Tb1 0.000 0.000 0.000
Nd1 0.167 0.833 0.500
Nd2 0.333 0.667 0.000
Nd3 0.500 0.500 0.500
Nd4 0.667 0.333 0.000
Nd5 0.833 0.167 0.500
Ho1 0.083 0.416 0.249
Ho2 0.250 0.250 0.751
Ho3 0.416 0.083 0.249
Ho4 0.584 0.917 0.751
Ho5 0.750 0.750 0.249
Ho6 0.917 0.584 0.751
```

---

# 2
Tb6NdHo3: relaxed, PBE.

Output
Its raw total energy is -4.48 eV/atom. The value obtained for the total magnetization is 0.00 Bohr magnetons per cell. The space group is Cmc2_1. The value obtained for the calculated formation energy is 1.5 eV per formula unit. The calculation puts the energy above the most stable polymorph in this dataset at 0.000 eV per atom.

Structure (CIF):
```
data_Tb6NdHo3
_chemical_formula_sum 'Tb12 Nd2 Ho6'
_cell_length_a 10.988
_cell_length_b 10.988
_cell_length_c 6.196
_cell_angle_alpha 90.00
_cell_angle_beta 90.00
_cell_angle_gamma 119.71
_symmetry_space_group_name_H-M 'P 1'
_symmetry_Int_Tables_number 1
_symmetry_space_group_name_Hall 'P 1'
loop_
_atom_site_label
_atom_site_fract_x
_atom_site_fract_y
_atom_site_fract_z
Tb1 0.043 0.463 0.045
Tb2 0.045 0.955 0.500
Tb3 0.282 0.718 0.770
Tb4 0.290 0.380 0.876
Tb5 0.380 0.290 0.376
Tb6 0.463 0.043 0.545
Tb7 0.537 0.957 0.045
Tb8 0.620 0.710 0.876
Tb9 0.710 0.620 0.376
Tb10 0.718 0.282 0.270
Tb11 0.955 0.045 0.000
Tb12 0.957 0.537 0.545
Nd1 0.205 0.795 0.269
Nd2 0.795 0.205 0.769
Ho1 0.062 0.282 0.452
Ho2 0.282 0.062 0.952
Ho3 0.389 0.611 0.338
Ho4 0.611 0.389 0.838
Ho5 0.718 0.938 0.452
Ho6 0.938 0.718 0.952
```

---

# 3
Tb5Nd12Ho2: relaxed, PBE.

Output
Its raw total energy is -4.58 eV/atom. The value obtained for the total magnetization is 0.00 Bohr magnetons per cell. The space group is C2/m. The value obtained for the calculated formation energy is 2.4 eV per formula unit. The calculation puts the energy above the most stable polymorph in this dataset at 0.031 eV per atom.

Structure (CIF):
```
data_Tb5Nd12Ho2
_chemical_formula_sum 'Tb5 Nd12 Ho2'
_cell_length_a 9.331
_cell_length_b 9.331
_cell_length_c 8.075
_cell_angle_alpha 92.85
_cell_angle_beta 92.85
_cell_angle_gamma 69.35
_symmetry_space_group_name_H-M 'P 1'
_symmetry_Int_Tables_number 1
_symmetry_space_group_name_Hall 'P 1'
loop_
_atom_site_label
_atom_site_fract_x
_atom_site_fract_y
_atom_site_fract_z
Tb1 0.000 0.000 0.000
Tb2 0.242 0.242 0.985
Tb3 0.344 0.344 0.408
Tb4 0.656 0.656 0.592
Tb5 0.758 0.758 0.015
Nd1 0.040 0.588 0.708
Nd2 0.133 0.133 0.606
Nd3 0.167 0.620 0.114
Nd4 0.380 0.833 0.886
Nd5 0.412 0.960 0.292
Nd6 0.447 0.447 0.788
Nd7 0.553 0.553 0.212
Nd8 0.588 0.040 0.708
Nd9 0.620 0.167 0.114
Nd10 0.833 0.380 0.886
Nd11 0.867 0.867 0.394
Nd12 0.960 0.412 0.292
Ho1 0.267 0.733 0.500
Ho2 0.733 0.267 0.500
```

---

# 4
TbNd2Ho: relaxed, PBE.

Output
Its raw total energy is -4.67 eV/atom. The value obtained for the total magnetization is 0.00 Bohr magnetons per cell. The space group is R3m. The value obtained for the calculated formation energy is 0.1 eV per formula unit. The calculation puts the energy above the most stable polymorph in this dataset at 0.005 eV per atom.

Structure (CIF):
```
data_TbNd2Ho
_chemical_formula_sum 'Tb3 Nd6 Ho3'
_cell_length_a 3.628
_cell_length_b 3.628
_cell_length_c 35.129
_cell_angle_alpha 90.00
_cell_angle_beta 90.00
_cell_angle_gamma 120.00
_symmetry_space_group_name_H-M 'P 1'
_symmetry_Int_Tables_number 1
_symmetry_space_group_name_Hall 'P 1'
loop_
_atom_site_label
_atom_site_fract_x
_atom_site_fract_y
_atom_site_fract_z
Tb1 0.000 0.000 0.000
Tb2 0.333 0.667 0.667
Tb3 0.667 0.333 0.333
Nd1 0.000 0.000 0.418
Nd2 0.000 0.000 0.583
Nd3 0.333 0.667 0.085
Nd4 0.333 0.667 0.250
Nd5 0.667 0.333 0.751
Nd6 0.667 0.333 0.917
Ho1 0.000 0.000 0.167
Ho2 0.333 0.667 0.834
Ho3 0.667 0.333 0.501
```

---

# 5
Tb4Nd2Ho: relaxed, PBE.

Output
Its raw total energy is -4.56 eV/atom. The value obtained for the total magnetization is 0.00 Bohr magnetons per cell. The space group is C2/m. The value obtained for the calculated formation energy is 0.7 eV per formula unit. The calculation puts the energy above the most stable polymorph in this dataset at 0.090 eV per atom.

Structure (CIF):
```
data_Tb4Nd2Ho
_chemical_formula_sum 'Tb8 Nd4 Ho2'
_cell_length_a 7.747
_cell_length_b 7.747
_cell_length_c 17.423
_cell_angle_alpha 101.38
_cell_angle_beta 101.38
_cell_angle_gamma 27.15
_symmetry_space_group_name_H-M 'P 1'
_symmetry_Int_Tables_number 1
_symmetry_space_group_name_Hall 'P 1'
loop_
_atom_site_label
_atom_site_fract_x
_atom_site_fract_y
_atom_site_fract_z
Tb1 0.021 0.021 0.319
Tb2 0.195 0.195 0.057
Tb3 0.322 0.322 0.570
Tb4 0.365 0.365 0.792
Tb5 0.635 0.635 0.208
Tb6 0.678 0.678 0.430
Tb7 0.805 0.805 0.943
Tb8 0.979 0.979 0.681
Nd1 0.105 0.105 0.856
Nd2 0.330 0.330 0.331
Nd3 0.670 0.670 0.669
Nd4 0.895 0.895 0.144
Ho1 0.000 0.000 0.500
Ho2 0.500 0.500 0.000
```

---

# 6
Tb6NdHo2: relaxed, PBE.

Output
Its raw total energy is -4.53 eV/atom. The value obtained for the total magnetization is 0.00 Bohr magnetons per cell. The space group is C2/c. The value obtained for the calculated formation energy is 0.9 eV per formula unit. The calculation puts the energy above the most stable polymorph in this dataset at 0.089 eV per atom.

Structure (CIF):
```
data_Tb6NdHo2
_chemical_formula_sum 'Tb12 Nd2 Ho4'
_cell_length_a 9.567
_cell_length_b 9.567
_cell_length_c 6.595
_cell_angle_alpha 98.98
_cell_angle_beta 98.98
_cell_angle_gamma 95.89
_symmetry_space_group_name_H-M 'P 1'
_symmetry_Int_Tables_number 1
_symmetry_space_group_name_Hall 'P 1'
loop_
_atom_site_label
_atom_site_fract_x
_atom_site_fract_y
_atom_site_fract_z
Tb1 0.037 0.440 0.727
Tb2 0.149 0.780 0.998
Tb3 0.220 0.851 0.502
Tb4 0.278 0.451 0.178
Tb5 0.440 0.037 0.227
Tb6 0.451 0.278 0.678
Tb7 0.549 0.722 0.322
Tb8 0.560 0.963 0.773
Tb9 0.722 0.549 0.822
Tb10 0.780 0.149 0.498
Tb11 0.851 0.220 0.002
Tb12 0.963 0.560 0.273
Nd1 0.378 0.622 0.750
Nd2 0.622 0.378 0.250
Ho1 0.116 0.164 0.367
Ho2 0.164 0.116 0.867
Ho3 0.836 0.884 0.133
Ho4 0.884 0.836 0.633
```